(1)
## NdThPtRh (PBE)

Data for crystalline NdThPtRh at its relaxed geometry.

Values from the calculation:
formation enthalpy at 0 K	-100.0	kJ per mole of atoms
crystal system	orthorhombic

a b c (Å): 3.893 4.361 5.933
angles (deg): 90.00 109.15 90.00
Positions (direct):
Th (0.868, 0.500, 0.735)
Nd (0.141, 0.000, 0.282)
Pt (0.589, 0.500, 0.179)
Rh (0.402, 0.000, 0.804)

***

(2)
## MoAs2IBr (PBE)

Data for crystalline MoAs2IBr at its relaxed geometry.

Values from the calculation:
crystal system	tetragonal
formation energy without anion corrections	0.274	eV per atom

a b c (Å): 4.967 4.967 5.129
angles (deg): 90.00 90.00 90.00
Positions (direct):
Mo (0.000, 0.000, 0.000)
As (0.000, 0.500, 0.000)
As (0.500, 0.000, 0.000)
Br (0.000, 0.000, 0.500)
I (0.500, 0.500, 0.500)

***

(3)
## AgTeRh4 (PBE)

Data for crystalline AgTeRh4 at its relaxed geometry.

Values from the calculation:
crystal system	cubic
formation energy without anion corrections	0.289	eV per atom

a b c (Å): 5.242 5.242 5.242
angles (deg): 60.00 60.00 60.00
Positions (direct):
Ag (0.000, 0.000, 0.000)
Rh (0.124, 0.625, 0.625)
Rh (0.625, 0.124, 0.625)
Rh (0.625, 0.625, 0.625)
Rh (0.625, 0.625, 0.124)
Te (0.250, 0.250, 0.250)

***

(4)
## NaTlCr2 (PBE)

Data for crystalline NaTlCr2 at its relaxed geometry.

Values from the calculation:
formation enthalpy at 0 K	96.7	kJ per mole of atoms
crystal system	tetragonal

a b c (Å): 8.032 8.032 6.439
angles (deg): 51.42 51.42 90.00
Each line ends with the local moment (μB).
Positions (direct):
Tl (0.000, 0.000, 0.000)  -0.05
Tl (0.750, 0.250, 0.500)  -0.05
Na (0.500, 0.500, 0.000)  0.01
Na (0.250, 0.750, 0.500)  0.01
Cr (0.648, 0.125, 0.250)  3.96
Cr (0.375, 0.352, 0.750)  3.96
Cr (0.102, 0.625, 0.250)  3.99
Cr (0.875, 0.898, 0.750)  3.98

***

(5)
## Be2TlAgF6 (PBE)

Data for crystalline Be2TlAgF6 at its relaxed geometry.

Values from the calculation:
crystal system	monoclinic
formation energy without anion corrections	-2.528	eV per atom

a b c (Å): 4.832 7.970 7.970
angles (deg): 96.51 87.18 87.18
Positions (direct):
F (0.466, 0.642, 0.711)
F (0.966, 0.711, 0.642)
F (0.136, 0.542, 0.197)
F (0.364, 0.803, 0.458)
F (0.235, 0.238, 0.050)
F (0.636, 0.197, 0.542)
F (0.864, 0.458, 0.803)
F (0.534, 0.358, 0.289)
F (0.034, 0.289, 0.358)
F (0.765, 0.762, 0.950)
F (0.265, 0.950, 0.762)
F (0.735, 0.050, 0.238)
Tl (0.250, 0.877, 0.123)
Tl (0.750, 0.123, 0.877)
Be (0.731, 0.214, 0.358)
Be (0.231, 0.358, 0.214)
Be (0.269, 0.786, 0.642)
Be (0.769, 0.642, 0.786)
Ag (0.250, 0.320, 0.680)
Ag (0.750, 0.680, 0.320)

***

(6)
## ZnIn2Ir (PBE)

Data for crystalline ZnIn2Ir at its relaxed geometry.

Values from the calculation:
formation enthalpy at 0 K	4.5	kJ per mole of atoms
crystal system	orthorhombic

a b c (Å): 5.127 5.127 5.127
angles (deg): 132.61 132.46 69.38
Positions (direct):
Zn (0.251, 0.751, 0.500)
In (0.750, 0.250, 0.500)
In (0.000, 0.000, 0.000)
Ir (0.499, 0.499, 0.000)

***

no.,volume (Å³/cell),calculated density (g/cm3),calculated total energy (eV per atom)
1,95.2,11.77,-7.4310
2,126.5,5.94,-4.3964
3,101.8,10.55,-5.6105
4,195.8,5.62,-4.7307
5,304.1,4.85,-4.9173
6,71.8,11.27,-3.8567